The following is a DFT calculation (PBE) of a relaxed structure of AsPd3I.

Results
- relative energy among the computed polymorphs (meV per atom) = 0
- density (g/cm³) = 7.88
- total energy (eV per formula unit) = -20.921
- total magnetic moment (μB/f.u.) = 0.00
- formation energy without anion corrections (meV/atom) = 171.4

Cell: 4.7893 4.7893 4.7893 Å, 90.00 90.00 90.00°
With the nearest neighbours (Å) after each atom.
Element x y z (fractional)
As 0.0000 0.0000 0.0000  6 Pd 2.39
Pd 0.0000 0.0000 0.5000  2 As 2.39
Pd 0.0000 0.5000 0.0000  2 As 2.39
Pd 0.5000 0.0000 0.0000  2 As 2.39
I 0.5000 0.5000 0.5000  12 Pd 3.39